Ac2GaCo PBE relaxed; D(E_F) = 7.77 states/eV per cell; crystal system = monoclinic; SG = Cm (8); ΔH_f (0 K) = -0.63 eV/f.u.
1.0
7.326 0.000 0.000
0.000 4.216 0.000
-0.023 0.000 8.012
Ac Ga Co
4 2 2
direct
0.000 0.000 0.000
0.168 0.500 0.554
0.500 0.500 0.000
0.668 0.000 0.554
0.334 0.000 0.277
0.834 0.500 0.277
0.001 0.000 0.346
0.501 0.500 0.346

=====

Ac2Ga12Co PBE relaxed; D(E_F) = 9.33 states/eV per cell; crystal system = tetragonal; SG = P4/nbm (125); ΔH_f (0 K) = -5.56 eV/f.u.
1.0
6.182 0.000 0.000
0.000 6.182 0.000
0.000 0.000 15.883
Ac Ga Co
4 24 2
direct
0.250 0.750 0.242
0.250 0.750 0.758
0.750 0.250 0.242
0.750 0.250 0.758
0.000 0.000 0.080
0.000 0.000 0.920
0.000 0.500 0.080
0.000 0.500 0.920
0.075 0.575 0.432
0.075 0.925 0.568
0.250 0.250 0.181
0.250 0.250 0.344
0.250 0.250 0.656
0.250 0.250 0.819
0.425 0.575 0.568
0.425 0.925 0.432
0.500 0.000 0.080
0.500 0.000 0.920
0.500 0.500 0.080
0.500 0.500 0.920
0.575 0.075 0.568
0.575 0.425 0.432
0.750 0.750 0.181
0.750 0.750 0.344
0.750 0.750 0.656
0.750 0.750 0.819
0.925 0.075 0.432
0.925 0.425 0.568
0.250 0.750 0.000
0.750 0.250 0.000

=====

Ac3Ga2Co2 PBE relaxed; D(E_F) = 11.74 states/eV per cell; crystal system = orthorhombic; SG = Immm (71); ΔH_f (0 K) = -1.98 eV/f.u.
1.0
4.417 0.000 0.000
0.000 4.514 0.000
0.000 0.000 18.374
Ac Ga Co
6 4 4
direct
0.000 0.000 0.000
0.000 0.500 0.323
0.000 0.500 0.677
0.500 0.000 0.177
0.500 0.000 0.823
0.500 0.500 0.500
0.000 0.500 0.129
0.000 0.500 0.871
0.500 0.000 0.371
0.500 0.000 0.629
0.000 0.000 0.438
0.000 0.000 0.562
0.500 0.500 0.062
0.500 0.500 0.938

=====

Ac2Ga7Co PBE relaxed; D(E_F) = 4.80 states/eV per cell; crystal system = tetragonal; SG = P-4m2 (115); ΔH_f (0 K) = -4.38 eV/f.u.
1.0
4.410 0.000 0.000
0.000 4.410 0.000
0.000 0.000 10.719
Ac Ga Co
2 7 1
direct
0.000 0.500 0.242
0.500 0.000 0.758
0.000 0.000 0.000
0.000 0.000 0.500
0.000 0.500 0.637
0.000 0.500 0.883
0.500 0.000 0.117
0.500 0.000 0.363
0.500 0.500 0.500
0.500 0.500 0.000

=====

Ac4Ga5Co2 PBE relaxed; D(E_F) = 9.09 states/eV per cell; crystal system = monoclinic; SG = P2/m (10); ΔH_f (0 K) = -3.78 eV/f.u.
1.0
7.041 0.000 0.000
0.000 4.579 0.000
-1.078 0.000 8.818
Ac Ga Co
4 5 2
direct
0.218 0.000 0.150
0.253 0.000 0.629
0.747 0.000 0.371
0.782 0.000 0.850
0.127 0.500 0.875
0.380 0.500 0.380
0.500 0.500 0.000
0.620 0.500 0.620
0.873 0.500 0.125
0.042 0.500 0.383
0.958 0.500 0.617

=====

Ac2Ga3Co2 PBE relaxed; D(E_F) = 14.06 states/eV per cell; crystal system = monoclinic; SG = C2/m (12); ΔH_f (0 K) = -1.69 eV/f.u.
1.0
11.112 0.000 0.000
0.000 4.421 0.000
-1.631 0.000 6.247
Ac Ga Co
4 6 4
direct
0.115 0.000 0.353
0.385 0.500 0.647
0.615 0.500 0.353
0.885 0.000 0.647
0.000 0.500 0.000
0.210 0.000 0.877
0.290 0.500 0.123
0.500 0.000 0.000
0.710 0.500 0.877
0.790 0.000 0.123
0.125 0.500 0.762
0.375 0.000 0.238
0.625 0.000 0.762
0.875 0.500 0.238

=====

AcGa2Co PBE relaxed; D(E_F) = 2.67 states/eV per cell; crystal system = tetragonal; excess energy over the best structure of this formula in the dataset = 0.336 eV/atom; SG = P4/mmm (123); ΔH_f (0 K) = -0.47 eV/f.u.
1.0
3.318 0.000 0.000
0.000 3.318 0.000
0.000 0.000 7.236
Ac Ga Co
1 2 1
direct
0.000 0.000 0.000
0.500 0.500 0.323
0.500 0.500 0.677
0.000 0.000 0.500

=====

AcGa2Co PBE relaxed; D(E_F) = 12.35 states/eV per cell; crystal system = orthorhombic; excess energy over the best structure of this formula in the dataset = 0.036 eV/atom; SG = Pnma (62); ΔH_f (0 K) = -1.67 eV/f.u.
1.0
7.006 0.000 0.000
0.000 4.447 0.000
0.000 0.000 10.852
Ac Ga Co
4 8 4
direct
0.176 0.250 0.117
0.324 0.750 0.617
0.676 0.250 0.383
0.824 0.750 0.883
0.161 0.250 0.418
0.162 0.250 0.804
0.338 0.750 0.304
0.339 0.750 0.918
0.661 0.250 0.082
0.662 0.250 0.696
0.838 0.750 0.196
0.839 0.750 0.582
0.010 0.750 0.390
0.490 0.250 0.890
0.510 0.750 0.110
0.990 0.250 0.610